The following is a PBE calculation of a relaxed structure of Gd3DyC, from the Alexandria database.

Lattice parameters (Å, degrees): 5.1117 5.1117 5.1117 90.00 90.00 90.00
Each line ends with the local moment (μB).
Fractional positions:
C (0.0000, 0.0000, 0.0000)  -0.05
Gd (0.0000, 0.5000, 0.0000)  7.22
Gd (0.0000, 0.0000, 0.5000)  7.22
Gd (0.5000, 0.0000, 0.0000)  7.22
Dy (0.5000, 0.5000, 0.5000)  0.47

- total magnetic moment (μB/atom) = 4.63
- crystal system = cubic



The following is a PBE calculation of a relaxed structure of GdDy2C, from the Alexandria database.

Lattice parameters (Å, degrees): 3.5342 3.5342 9.8809 79.70 79.70 60.00
Each line ends with the local moment (μB).
Fractional positions:
C (0.5000, 0.5000, 0.5000)  0.00
Gd (0.0000, 0.0000, 0.0000)  7.40
Dy (0.1201, 0.1201, 0.6398)  0.02
Dy (0.8799, 0.8799, 0.3602)  0.02

- total magnetic moment (μB/atom) = 1.97
- crystal system = trigonal



The following is a PBE calculation of a relaxed structure of Dy4Ge2C, from the Alexandria database.

Lattice parameters (Å, degrees): 6.5915 6.8301 8.1575 90.00 113.83 90.00
Fractional positions:
Ge (0.6357, 0.0216, 0.2713)
Ge (0.3643, 0.9784, 0.7287)
Ge (0.8643, 0.5216, 0.7287)
Ge (0.1357, 0.4784, 0.2713)
C (0.0000, 0.0000, 0.0000)
C (0.5000, 0.5000, 0.0000)
Dy (0.8310, 0.9500, 0.6620)
Dy (0.1690, 0.0500, 0.3380)
Dy (0.6690, 0.4500, 0.3380)
Dy (0.3310, 0.5500, 0.6620)
Dy (0.7364, 0.2500, 0.9728)
Dy (0.7636, 0.7500, 0.0272)
Dy (0.2364, 0.2500, 0.9728)
Dy (0.2636, 0.7500, 0.0272)

- total magnetic moment (μB/atom) = 0.00
- crystal system = orthorhombic
- distance to the lowest polymorph of the same formula (eV per atom) = 0.000



The following is a PBE calculation of a relaxed structure of Dy5Ge3C, from the Alexandria database.

Lattice parameters (Å, degrees): 8.5086 8.5086 6.4900 90.00 90.00 120.00
Fractional positions:
Dy (0.3333, 0.6667, 0.5000)
Dy (0.6667, 0.3333, 0.5000)
Dy (0.6667, 0.3333, 0.0000)
Dy (0.3333, 0.6667, 0.0000)
Dy (0.0000, 0.2210, 0.7500)
Dy (0.2210, 0.0000, 0.7500)
Dy (0.7790, 0.7790, 0.7500)
Dy (0.0000, 0.7790, 0.2500)
Dy (0.7790, 0.0000, 0.2500)
Dy (0.2210, 0.2210, 0.2500)
Ge (0.0000, 0.5893, 0.7500)
Ge (0.5893, 0.0000, 0.7500)
Ge (0.4107, 0.4107, 0.7500)
Ge (0.0000, 0.4107, 0.2500)
Ge (0.4107, 0.0000, 0.2500)
Ge (0.5893, 0.5893, 0.2500)
C (0.0000, 0.0000, 0.5000)
C (0.0000, 0.0000, 0.0000)

- total magnetic moment (μB/atom) = 0.00
- crystal system = hexagonal



The following is a PBE calculation of a relaxed structure of Dy6Ge2C, from the Alexandria database.

Lattice parameters (Å, degrees): 6.4294 6.4294 12.2663 90.00 90.00 90.00
Each line ends with the local moment (μB).
Fractional positions:
Dy (0.3091, 0.3091, 0.3568)  0.25
Dy (0.6909, 0.6909, 0.3568)  0.25
Dy (0.1909, 0.8091, 0.8568)  0.25
Dy (0.8091, 0.1909, 0.8568)  0.25
Dy (0.1909, 0.8091, 0.1432)  0.25
Dy (0.8091, 0.1909, 0.1432)  0.25
Dy (0.3091, 0.3091, 0.6432)  0.25
Dy (0.6909, 0.6909, 0.6432)  0.25
Dy (0.2791, 0.2791, 0.0000)  0.23
Dy (0.7209, 0.7209, 0.0000)  0.23
Dy (0.2209, 0.7791, 0.5000)  0.23
Dy (0.7791, 0.2209, 0.5000)  0.23
Ge (0.0000, 0.0000, 0.3285)  -0.02
Ge (0.5000, 0.5000, 0.8285)  -0.02
Ge (0.5000, 0.5000, 0.1715)  -0.02
Ge (0.0000, 0.0000, 0.6715)  -0.02
C (0.0000, 0.0000, 0.0000)  -0.02
C (0.5000, 0.5000, 0.5000)  -0.02

- total magnetic moment (μB/atom) = 0.28
- crystal system = tetragonal



The following is a PBE calculation of a relaxed structure of Dy4Ge2C, from the Alexandria database.

Lattice parameters (Å, degrees): 3.9805 8.2286 7.2123 134.44 106.02 90.00
Each line ends with the local moment (μB).
Fractional positions:
Dy (0.9204, 0.1849, 0.8409)  0.11
Dy (0.0796, 0.8151, 0.1591)  0.11
Dy (0.6612, 0.2488, 0.3225)  0.08
Dy (0.3388, 0.7512, 0.6775)  0.08
Ge (0.6243, 0.5917, 0.2486)  0.00
Ge (0.3757, 0.4083, 0.7514)  0.00
C (0.0000, 0.0000, 0.0000)  -0.01

- total magnetic moment (μB/atom) = 0.08
- crystal system = monoclinic
- distance to the lowest polymorph of the same formula (eV per atom) = 0.042



DFT formation energy values (in meV/atom) by entry order: 12.5 -86.8 -643.4 -726.3 -317.9 -601.1.
E_tot values (in eV per atom) by entry order: -11.2012 -8.2141 -5.9101 -5.8470 -5.4369 -5.8678.